VASP calculation (PBE+U) on a relaxed structure of Fe5O3F7.

a = 4.6937 Å, b = 4.7271 Å, c = 15.2413 Å
α = 90.68°, β = 90.73°, γ = 90.87°
Sites, in units of the cell vectors:
Fe 0.0000 0.0000 0.0000
Fe 0.0047 0.0046 0.1959
Fe 0.0133 0.0091 0.3954
Fe 0.0421 0.9596 0.5928
Fe 0.4756 0.4653 0.5013
Fe 0.5032 0.4845 0.6971
Fe 0.5224 0.5220 0.8940
Fe 0.5327 0.5332 0.0967
Fe 0.5391 0.5397 0.2988
Fe 0.9523 0.0211 0.8033
O 0.2023 0.1795 0.4921
O 0.3240 0.6452 0.5992
O 0.6921 0.3232 0.7914
O 0.8129 0.8326 0.9033
O 0.8234 0.8350 0.0989
O 0.8356 0.8405 0.2975
F 0.2012 0.2046 0.9012
F 0.2041 0.1871 0.7032
F 0.2109 0.2065 0.0974
F 0.2144 0.2146 0.2962
F 0.2923 0.7090 0.7899
F 0.2950 0.6945 0.4023
F 0.3054 0.7167 0.9973
F 0.3095 0.7226 0.1953
F 0.7013 0.2746 0.5997
F 0.7014 0.2982 0.4026
F 0.7247 0.3133 0.1957
F 0.7257 0.3160 0.9983
F 0.7900 0.7767 0.4892
F 0.7959 0.7947 0.6989

Properties
Total moment: 5.00 μB/f.u.
Total DFT energy (no corrections): -80.37 eV/f.u.
Energy above the most stable polymorph in this dataset: 0.4574 eV per atom